# Tc2MoPt

A relaxed Tc2MoPt crystal (PBE, Alexandria via LeMat-Bulk).

The formation energy is 1 kJ/mol of formula units.

It has space group P4/mmm (No. 123), with a = 2.752 Å, b = 2.752 Å, c = 7.993 Å, α = 90.00°, β = 90.00° and γ = 90.00°. The distinct sites, in fractional coordinates, are Tc at (0.000, 0.000, 0.246), Mo at (0.500, 0.500, 0.000) and Pt at (0.500, 0.500, 0.500).


# Pb2IN

A relaxed Pb2IN crystal (PBE, Alexandria via LeMat-Bulk).

For the total energy, the calculation gives -3.336 eV per atom.

It has space group Fm-3m (No. 225), with a = 7.484 Å, b = 7.484 Å, c = 7.484 Å, α = 90.00°, β = 90.00° and γ = 90.00°. The distinct sites, in fractional coordinates, are Pb at (0.250, 0.250, 0.250), I at (0.000, 0.000, 0.000) and N at (0.000, 0.000, 0.500).


# BaNa2SrAg

A relaxed BaNa2SrAg crystal (PBE, Alexandria via LeMat-Bulk).

The formation energy is 31 kJ/mol of formula units.

It has space group P4/mmm (No. 123), with a = 5.974 Å, b = 5.974 Å, c = 6.325 Å, α = 90.00°, β = 90.00° and γ = 90.00°. The distinct sites, in fractional coordinates, are Ba at (0.000, 0.000, 0.000), Na at (0.000, 0.500, 0.500), Sr at (0.500, 0.500, 0.000) and Ag at (0.000, 0.000, 0.500).


# BeTl2P

A relaxed BeTl2P crystal (PBE, Alexandria via LeMat-Bulk).

The formation energy is 240 kJ/mol of formula units.

It has space group I-42d (No. 122), with a = 6.338 Å, b = 6.338 Å, c = 10.511 Å, α = 90.00°, β = 90.00° and γ = 90.00°. The distinct sites, in fractional coordinates, are Be at (0.000, 0.000, 0.000), Tl at (0.234, 0.250, 0.125) and P at (0.000, 0.000, 0.500).


# LaGeOs

A relaxed LaGeOs crystal (PBE, Alexandria via LeMat-Bulk).

The formation energy is -123 kJ/mol of formula units.

It has space group Cmcm (No. 63), with a = 3.672 Å, b = 11.426 Å, c = 6.021 Å, α = 90.00°, β = 90.00° and γ = 90.00°. The distinct sites, in fractional coordinates, are La at (0.000, 0.177, 0.250), Ge at (0.000, 0.097, 0.750) and Os at (0.000, 0.500, 0.000).


# Cs2GeRhAu

A relaxed Cs2GeRhAu crystal (PBE, Alexandria via LeMat-Bulk).

The formation energy is 347 kJ/mol of formula units.

It has space group P4/mmm (No. 123), with a = 6.090 Å, b = 6.090 Å, c = 5.189 Å, α = 90.00°, β = 90.00° and γ = 90.00°. The distinct sites, in fractional coordinates, are Cs at (0.000, 0.500, 0.000), Ge at (0.000, 0.000, 0.500), Rh at (0.500, 0.500, 0.000) and Au at (0.500, 0.500, 0.500).


The records above give, respectively, mass density values of 13.4 8.8 2.8 7.1 10.6 5.5 g cm⁻³.
The records above give, respectively, DOS at the Fermi energy values of 2.8 8.5 3.4 7.2 11.9 5.3 states/eV/cell.